La7PrNd3: optimized geometry, PBE.

abc: 11.2779 11.2779 3.6681
angles: 90.00 90.00 120.00
Space group P3m1 (No. 156)
Symmetry-distinct sites (fractional):
La1 0.0000 0.0000 0.0000 (multiplicity 1)
La2 0.3959 0.1979 0.4984 (multiplicity 3)
La3 0.5011 0.0022 0.9982 (multiplicity 3)
Pr1 0.3333 0.6667 0.9996 (multiplicity 1)
Nd1 0.1679 0.3358 0.4995 (multiplicity 3)

Properties
* ΔH_f (0 K): 0.11 eV/atom
* polymorph energy (0 for the lowest one): 0.0 kJ/mol of formula units

TaNbSe2N: optimized geometry, PBE.

abc: 5.157 5.157 3.806
angles: 90.00 90.00 90.00
Space group P4/mmm (No. 123)
Symmetry-distinct sites (fractional):
Ta1 0.000 0.000 0.000 (multiplicity 1)
Nb1 0.500 0.500 0.500 (multiplicity 1)
Se1 0.000 0.500 0.500 (multiplicity 2)
N1 0.500 0.500 0.000 (multiplicity 1)

Properties
* energy relative to the elements, uncorrected: 0.507 eV per atom
* polymorph energy (0 for the lowest one): 138.8 kJ/mol of formula units

Sr2FeAs: optimized geometry, PBE.

abc: 8.031 4.665 7.894
angles: 90.00 110.69 90.00
Space group C2/m (No. 12)
Symmetry-distinct sites (fractional):
Sr1 0.239 0.000 0.211 (multiplicity 4)
Fe1 0.000 0.000 0.500 (multiplicity 2)
As1 0.000 0.500 0.000 (multiplicity 2)

Properties
* ΔH_f (0 K): 0.04 eV/atom

Ag3HgGe: optimized geometry, PBE.

abc: 5.182 5.182 5.182
angles: 90.00 90.00 90.00
Space group Pm-3m (No. 221)
Symmetry-distinct sites (fractional):
Ag1 0.000 0.000 0.500 (multiplicity 3)
Hg1 0.000 0.000 0.000 (multiplicity 1)
Ge1 0.500 0.500 0.500 (multiplicity 1)

Properties
* ΔH_f (0 K): 0.83 eV/atom
* polymorph energy (0 for the lowest one): 212.8 kJ/mol of formula units

Sr6InAg: optimized geometry, PBE.

abc: 5.813 5.813 20.468
angles: 90.00 90.00 90.00
Space group I4/mmm (No. 139)
Symmetry-distinct sites (fractional):
Sr1 0.000 0.000 0.248 (multiplicity 4)
Sr2 0.000 0.500 0.093 (multiplicity 8)
In1 0.000 0.000 0.000 (multiplicity 2)
Ag1 0.000 0.000 0.500 (multiplicity 2)

Properties
* ΔH_f (0 K): -0.17 eV/atom

LaSnSeN2: optimized geometry, PBE.

abc: 4.433 4.433 5.039
angles: 90.00 90.00 90.00
Space group P4/mmm (No. 123)
Symmetry-distinct sites (fractional):
La1 0.000 0.000 0.000 (multiplicity 1)
Sn1 0.500 0.500 0.000 (multiplicity 1)
Se1 0.500 0.500 0.500 (multiplicity 1)
N1 0.000 0.500 0.500 (multiplicity 2)

Properties
* energy relative to the elements, uncorrected: 1.083 eV per atom
* polymorph energy (0 for the lowest one): 500.6 kJ/mol of formula units

LiPuCl: optimized geometry, PBE.

abc: 8.081 3.500 8.511
angles: 90.00 101.81 90.00
Space group C2/m (No. 12)
Symmetry-distinct sites (fractional):
Li1 0.121 0.000 0.324 (multiplicity 4)
Pu1 0.149 0.500 0.992 (multiplicity 4)
Cl1 0.175 0.000 0.659 (multiplicity 4)

Properties
* energy relative to the elements, uncorrected: -0.699 eV per atom

TiTcNiW: optimized geometry, PBE.

abc: 6.143 6.143 6.143
angles: 90.00 90.00 90.00
Space group F-43m (No. 216)
Symmetry-distinct sites (fractional):
Ti1 0.000 0.000 0.000 (multiplicity 4)
Tc1 0.250 0.250 0.750 (multiplicity 4)
Ni1 0.250 0.250 0.250 (multiplicity 4)
W1 0.000 0.000 0.500 (multiplicity 4)

Properties
* ΔH_f (0 K): -0.15 eV/atom